The following is a PBE calculation of ReSiTcRu after structural relaxation, from the Alexandria database.

```
data_ReSiTcRu
_chemical_formula_sum 'Re2 Si2 Tc2 Ru2'
_cell_length_a 2.891
_cell_length_b 4.392
_cell_length_c 8.705
_cell_angle_alpha 90.00
_cell_angle_beta 90.00
_cell_angle_gamma 90.00
_symmetry_space_group_name_H-M 'I m m 2'
_symmetry_Int_Tables_number 44
loop_
_symmetry_equiv_pos_as_xyz
'x,y,z'
'-x,-y,z'
'-x,y,z'
'x,-y,z'
'x+1/2,y+1/2,z+1/2'
'-x+1/2,-y+1/2,z+1/2'
'-x+1/2,y+1/2,z+1/2'
'x+1/2,-y+1/2,z+1/2'
loop_
_atom_site_label
_atom_site_type_symbol
_atom_site_fract_x
_atom_site_fract_y
_atom_site_fract_z
Re1 Re 0.000 0.000 0.000
Si1 Si 0.000 0.500 0.730
Tc1 Tc 0.000 0.500 0.226
Ru1 Ru 0.000 0.000 0.450
```

Results
Its density of states at the Fermi level is 3.0 states/eV/f.u. The uncorrected formation energy comes out at -0.22 eV/atom. The calculation puts the electronic total energy at -76.782 eV for the cell shown.


The following is a PBE calculation of Tb2HfO5 after structural relaxation, from the Alexandria database.

```
data_Tb2HfO5
_chemical_formula_sum 'Tb8 Hf4 O20'
_cell_length_a 7.560
_cell_length_b 3.770
_cell_length_c 15.839
_cell_angle_alpha 90.00
_cell_angle_beta 90.00
_cell_angle_gamma 90.00
_symmetry_space_group_name_H-M 'P n m a'
_symmetry_Int_Tables_number 62
loop_
_symmetry_equiv_pos_as_xyz
'x,y,z'
'-x,-y,-z'
'-x+1/2,-y,z+1/2'
'x+1/2,y,-z+1/2'
'x+1/2,-y+1/2,-z+1/2'
'-x+1/2,y+1/2,z+1/2'
'-x,y+1/2,-z'
'x,-y+1/2,z'
loop_
_atom_site_label
_atom_site_type_symbol
_atom_site_fract_x
_atom_site_fract_y
_atom_site_fract_z
Tb1 Tb 0.090 0.250 0.089
Tb2 Tb 0.137 0.250 0.739
Hf1 Hf 0.126 0.250 0.429
O1 O 0.088 0.750 0.466
O2 O 0.091 0.750 0.655
O3 O 0.100 0.750 0.179
O4 O 0.143 0.750 0.004
O5 O 0.196 0.750 0.832
```

Results
Its density of states at the Fermi level is 0.0 states/eV/f.u. The uncorrected formation energy comes out at -3.56 eV/atom. The calculation puts the electronic total energy at -290.059 eV for the cell shown.


The following is a PBE calculation of Li4Cd2Hg3 after structural relaxation, from the Alexandria database.

```
data_Li4Cd2Hg3
_chemical_formula_sum 'Li4 Cd2 Hg3'
_cell_length_a 4.565
_cell_length_b 4.872
_cell_length_c 8.795
_cell_angle_alpha 96.28
_cell_angle_beta 90.00
_cell_angle_gamma 117.93
_symmetry_space_group_name_H-M 'P -1'
_symmetry_Int_Tables_number 2
loop_
_symmetry_equiv_pos_as_xyz
'x,y,z'
'-x,-y,-z'
loop_
_atom_site_label
_atom_site_type_symbol
_atom_site_fract_x
_atom_site_fract_y
_atom_site_fract_z
Li1 Li 0.009 0.016 0.332
Li2 Li 0.337 0.673 0.104
Cd1 Cd 0.325 0.653 0.778
Hg1 Hg 0.000 0.000 0.000
Hg2 Hg 0.339 0.676 0.419
```

Results
Its density of states at the Fermi level is 1.8 states/eV/f.u. The calculation puts the electronic total energy at -12.982 eV for the cell shown. Its energy of formation from the pure elements is -0.288 eV/atom.


The following is a PBE calculation of KMnFe4 after structural relaxation, from the Alexandria database.

```
data_KMnFe4
_chemical_formula_sum 'K4 Mn4 Fe16'
_cell_length_a 7.275
_cell_length_b 7.275
_cell_length_c 7.275
_cell_angle_alpha 90.00
_cell_angle_beta 90.00
_cell_angle_gamma 90.00
_symmetry_space_group_name_H-M 'F -4 3 m'
_symmetry_Int_Tables_number 216
_symmetry_space_group_name_Hall 'F -4 2 3'
loop_
_atom_site_label
_atom_site_type_symbol
_atom_site_fract_x
_atom_site_fract_y
_atom_site_fract_z
K1 K 0.000 0.000 0.000
Mn1 Mn 0.250 0.250 0.750
Fe1 Fe 0.120 0.120 0.380
```

Results
Its density of states at the Fermi level is 5.7 states/eV/f.u. The calculation puts the electronic total energy at -156.170 eV for the cell shown. Its energy of formation from the pure elements is 0.846 eV/atom.


The following is a PBE calculation of BaTl6Hg after structural relaxation, from the Alexandria database.

```
data_BaTl6Hg
_chemical_formula_sum 'Ba2 Tl12 Hg2'
_cell_length_a 5.789
_cell_length_b 6.952
_cell_length_c 12.834
_cell_angle_alpha 90.00
_cell_angle_beta 90.00
_cell_angle_gamma 90.00
_symmetry_space_group_name_H-M 'A m m 2'
_symmetry_Int_Tables_number 38
loop_
_symmetry_equiv_pos_as_xyz
'x,y,z'
'-x,-y,z'
'-x,y,z'
'x,-y,z'
'x,y+1/2,z+1/2'
'-x,-y+1/2,z+1/2'
'-x,y+1/2,z+1/2'
'x,-y+1/2,z+1/2'
loop_
_atom_site_label
_atom_site_type_symbol
_atom_site_fract_x
_atom_site_fract_y
_atom_site_fract_z
Ba1 Ba 0.000 0.000 0.000
Tl1 Tl 0.000 0.248 0.250
Tl2 Tl 0.500 0.000 0.167
Tl3 Tl 0.500 0.000 0.646
Tl4 Tl 0.500 0.238 0.394
Hg1 Hg 0.000 0.000 0.493
```

Results
Its density of states at the Fermi level is 4.8 states/eV/f.u. The calculation puts the electronic total energy at -34.854 eV for the cell shown. Its energy of formation from the pure elements is -0.126 eV/atom.


The following is a PBE calculation of Dy2PaI after structural relaxation, from the Alexandria database.

```
data_Dy2PaI
_chemical_formula_sum 'Dy6 Pa3 I3'
_cell_length_a 3.4449
_cell_length_b 3.4449
_cell_length_c 34.6675
_cell_angle_alpha 90.00
_cell_angle_beta 90.00
_cell_angle_gamma 120.00
_symmetry_space_group_name_H-M 'R -3 m'
_symmetry_Int_Tables_number 166
_symmetry_space_group_name_Hall '-R 3 2"'
loop_
_atom_site_label
_atom_site_type_symbol
_atom_site_fract_x
_atom_site_fract_y
_atom_site_fract_z
Dy1 Dy 0.0000 0.0000 0.0940
Pa1 Pa 0.0000 0.0000 0.0000
I1 I 0.0000 0.0000 0.5000
```

Results
Its density of states at the Fermi level is 5.0 states/eV/f.u. The uncorrected formation energy comes out at 0.15 eV/atom. The calculation puts the electronic total energy at -58.896 eV for the cell shown.